Record 1
Computed, not measured: a relaxed Nd2DyAl3Si2Ir crystal at the PBE-GGA level of DFT.

Properties
Volume: 184.8 Å³/f.u.
Calculated total energy: -5.81 eV per atom

a b c (Å): 4.2775 12.2209 7.0715
angles (deg): 90.00 90.00 90.00
Closest atoms and distances in Å follow each position.
Space group Amm2 (No. 38)
Inequivalent atoms, fractional coordinates:
Nd: 0.0000 0.2076 0.0000 [4 per cell]  1 Ir 2.96, 4 Si 3.02-3.04, 2 Al 3.30
Dy: 0.0000 0.0000 0.6213 [2 per cell]  1 Ir 2.86, 4 Si 2.98
Al: 0.5000 0.0000 0.9778 [2 per cell]  2 Ir 2.72, 2 Si 2.75, 2 Al 2.82
Al: 0.5000 0.1133 0.3257 [4 per cell]  2 Ir 2.66, 2 Si 2.77-2.87, 2 Al 2.77-2.82
Si: 0.5000 0.1623 0.7078 [4 per cell]  3 Al 2.75-2.87, 2 Dy 2.98, 4 Nd 3.02-3.04
Ir: 0.0000 0.0000 0.2164 [2 per cell]  6 Al 2.66-2.72, 1 Dy 2.86, 2 Nd 2.96

Record 2
Computed, not measured: a relaxed Dy2AlNiIr crystal at the PBE-GGA level of DFT.

Properties
Volume: 97.6 Å³/f.u.
Calculated total energy: -6.23 eV per atom

a b c (Å): 4.1588 8.4533 5.5541
angles (deg): 90.00 90.00 90.00
Closest atoms and distances in Å follow each position.
Space group Imm2 (No. 44)
Inequivalent atoms, fractional coordinates:
Dy: 0.0000 0.2006 0.0000 [4 per cell]  3 Ni 2.90-3.01, 3 Ir 2.96
Al: 0.0000 0.0000 0.5009 [2 per cell]  2 Ni 2.51, 2 Ir 2.58
Ni: 0.0000 0.5000 0.2534 [2 per cell]  2 Al 2.51, 1 Ir 2.62
Ir: 0.0000 0.5000 0.7253 [2 per cell]  2 Al 2.58, 1 Ni 2.62

Record 3
Computed, not measured: a relaxed Dy2Al4NiIr crystal at the PBE-GGA level of DFT.

Properties
Volume: 230.0 Å³/f.u.
Calculated total energy: -4.58 eV per atom

a b c (Å): 6.2861 5.0555 14.4743
angles (deg): 90.00 90.00 90.00
Closest atoms and distances in Å follow each position.
Space group Amm2 (No. 38)
Inequivalent atoms, fractional coordinates:
Dy: 0.0000 0.0000 0.0000 [2 per cell]  1 Ni 2.64, 2 Ir 2.73
Dy: 0.0000 0.0000 0.2396 [2 per cell]  1 Ir 2.74, 2 Ni 2.77
Al: 0.2932 0.0000 0.5377 [4 per cell]  1 Ir 2.42, 2 Al 2.60-2.64
Al: 0.2954 0.0000 0.7202 [4 per cell]  1 Ni 2.33, 1 Al 2.57
Ni: 0.0000 0.0000 0.8178 [2 per cell]  2 Al 2.33
Ir: 0.0000 0.0000 0.4288 [2 per cell]  2 Al 2.42

Record 4
Computed, not measured: a relaxed Dy3Al3NiIr2 crystal at the PBE-GGA level of DFT.

Properties
Volume: 169.2 Å³/f.u.
Calculated total energy: -6.18 eV per atom

a b c (Å): 6.9801 6.9801 4.0089
angles (deg): 90.00 90.00 120.00
Closest atoms and distances in Å follow each position.
Space group P-62m (No. 189)
Inequivalent atoms, fractional coordinates:
Dy: 0.0000 0.4092 0.0000 [3 per cell]  1 Ni 2.86, 4 Ir 2.91, 6 Al 3.18-3.19
Al: 0.0000 0.7635 0.5000 [3 per cell]  2 Ni 2.60, 2 Ir 2.73, 2 Al 2.86
Ni: 0.0000 0.0000 0.0000 [1 per cell]  6 Al 2.60, 3 Dy 2.86
Ir: 0.3333 0.6667 0.5000 [2 per cell]  3 Al 2.73, 6 Dy 2.91

Record 5
Computed, not measured: a relaxed Dy3Al3IrPd2 crystal at the PBE-GGA level of DFT.

Properties
Volume: 178.3 Å³/f.u.
Calculated total energy: -5.82 eV per atom

a b c (Å): 7.0934 7.0934 4.0912
angles (deg): 90.00 90.00 120.00
Closest atoms and distances in Å follow each position.
Space group P-62m (No. 189)
Inequivalent atoms, fractional coordinates:
Dy: 0.0000 0.5900 0.0000 [3 per cell]  1 Ir 2.91, 4 Pd 2.96, 6 Al 3.25-3.26
Al: 0.0000 0.2329 0.5000 [3 per cell]  2 Ir 2.63, 2 Pd 2.79, 2 Al 2.86
Ir: 0.0000 0.0000 0.0000 [1 per cell]  6 Al 2.63, 3 Dy 2.91
Pd: 0.3333 0.6667 0.5000 [2 per cell]  3 Al 2.79, 6 Dy 2.96

Record 6
Computed, not measured: a relaxed Dy3Al3Ir2Pd crystal at the PBE-GGA level of DFT.

Properties
Volume: 175.2 Å³/f.u.
Calculated total energy: -6.22 eV per atom

a b c (Å): 7.0904 7.0904 4.0235
angles (deg): 90.00 90.00 120.00
Closest atoms and distances in Å follow each position.
Space group P-62m (No. 189)
Inequivalent atoms, fractional coordinates:
Dy: 0.0000 0.5823 0.0000 [3 per cell]  4 Ir 2.93, 1 Pd 2.96, 6 Al 3.12-3.27
Al: 0.0000 0.2462 0.5000 [3 per cell]  2 Pd 2.66, 2 Ir 2.73
Ir: 0.3333 0.6667 0.5000 [2 per cell]  3 Al 2.73, 6 Dy 2.93
Pd: 0.0000 0.0000 0.0000 [1 per cell]  6 Al 2.66, 3 Dy 2.96